The following is a PBE calculation of a relaxed BeSbN2F crystal, from Alexandria via LeMat-Bulk.

Summary:
The density of states at the Fermi level is 1.2 states/eV per cell. Its total magnetization is 0.00 μB/atom. The value obtained for the energy relative to the elements, uncorrected is 3.95 eV/f.u. The symmetry is No. 123.

The structure in POSCAR format:
```
BeSbN2F
1.0
4.035 0.000 0.000
0.000 4.035 0.000
0.000 0.000 4.016
Be Sb N F
1 1 2 1
Cartesian
0.000 0.000 0.000
2.017 2.017 2.008
0.000 2.017 2.008
2.017 0.000 2.008
2.017 2.017 0.000
```